(1)
Below is a relaxed structure of LiZr, with properties calculated at the PBE level.

The structure in POSCAR format:
```
LiZr
1.0
4.900 0.000 0.000
2.450 4.243 0.000
2.450 1.414 4.001
Zr Li
2 2
direct
0.750 0.750 0.750 Zr
0.500 0.500 0.500 Zr
0.000 0.000 0.000 Li
0.250 0.250 0.250 Li
```

Output
As for the formation energy: 512 meV per atom. The total energy is -18.875 eV per cell. The value obtained for the polymorph energy (0 for the lowest one) is 429 meV/atom.


(2)
Below is a relaxed structure of V12Ge5P2, with properties calculated at the PBE level.

The structure in POSCAR format:
```
V12Ge5P2
1.0
6.382 0.000 0.000
-3.191 6.397 0.737
0.000 -1.502 7.002
V Ge P
12 5 2
direct
0.391 0.339 0.111 V
0.980 0.961 0.826 V
0.146 0.743 0.455 V
0.854 0.257 0.545 V
0.609 0.661 0.889 V
0.948 0.339 0.111 V
0.052 0.661 0.889 V
0.597 0.743 0.455 V
0.403 0.257 0.545 V
0.020 0.039 0.174 V
0.532 0.064 0.298 V
0.468 0.936 0.702 V
0.263 0.526 0.655 Ge
0.737 0.474 0.345 Ge
0.328 0.656 0.168 Ge
0.672 0.344 0.832 Ge
0.000 0.000 0.500 Ge
0.682 0.000 0.000 P
0.318 0.000 0.000 P
```

Output
As for the formation energy: 25 meV per atom. The total energy is -142.853 eV per cell.


(3)
Below is a relaxed structure of V2NiS4, with properties calculated at the PBE level.

The structure in POSCAR format:
```
V2NiS4
1.0
-0.304 -4.512 0.644
2.748 -0.696 -3.582
5.857 -2.414 2.050
V S Ni
2 4 1
direct
0.385 0.385 0.231 V
0.615 0.615 0.769 V
0.799 0.799 0.403 S
0.201 0.201 0.597 S
0.000 0.500 0.000 S
0.500 0.000 0.000 S
0.000 0.000 0.000 Ni
```

Output
The total energy is -41.163 eV per cell. The value obtained for the polymorph energy (0 for the lowest one) is 711 meV/atom. For the uncorrected formation energy, the calculation gives -0.0906 eV per atom.


(4)
Below is a relaxed structure of In12Te3As5, with properties calculated at the PBE level.

The structure in POSCAR format:
```
In12Te3As5
1.0
-1.853 13.260 6.931
3.048 -10.639 10.238
11.436 0.992 -9.774
In As Te
48 20 12
direct
0.954 0.590 0.170 In
0.670 0.216 0.581 In
0.716 0.581 0.170 In
0.865 0.581 0.910 In
0.716 0.135 0.046 In
0.365 0.410 0.081 In
0.419 0.135 0.590 In
0.454 0.784 0.865 In
0.216 0.546 0.635 In
0.090 0.919 0.135 In
0.919 0.830 0.784 In
0.830 0.919 0.284 In
0.046 0.635 0.716 In
0.330 0.784 0.419 In
0.135 0.419 0.090 In
0.135 0.716 0.546 In
0.954 0.365 0.284 In
0.865 0.284 0.454 In
0.170 0.090 0.954 In
0.419 0.284 0.330 In
0.919 0.090 0.635 In
0.284 0.865 0.954 In
0.546 0.330 0.910 In
0.590 0.954 0.670 In
0.090 0.170 0.454 In
0.081 0.170 0.216 In
0.830 0.910 0.046 In
0.410 0.046 0.330 In
0.784 0.330 0.919 In
0.581 0.716 0.670 In
0.581 0.865 0.410 In
0.670 0.454 0.590 In
0.216 0.670 0.081 In
0.546 0.216 0.135 In
0.330 0.546 0.410 In
0.910 0.081 0.865 In
0.365 0.954 0.784 In
0.081 0.910 0.365 In
0.784 0.454 0.365 In
0.590 0.635 0.419 In
0.284 0.419 0.830 In
0.454 0.670 0.090 In
0.635 0.046 0.216 In
0.910 0.830 0.546 In
0.635 0.590 0.919 In
0.410 0.365 0.581 In
0.170 0.081 0.716 In
0.046 0.410 0.830 In
0.000 0.500 0.500 As
0.625 0.875 0.250 As
0.750 0.125 0.875 As
0.500 0.500 0.500 As
0.625 0.750 0.875 As
0.250 0.875 0.125 As
0.750 0.625 0.375 As
0.875 0.250 0.625 As
0.000 0.500 0.000 As
0.500 0.500 0.000 As
0.250 0.375 0.625 As
0.875 0.625 0.750 As
0.000 0.000 0.500 As
0.375 0.125 0.750 As
0.375 0.250 0.125 As
0.500 0.000 0.500 As
0.000 0.000 0.000 As
0.125 0.375 0.250 As
0.125 0.750 0.375 As
0.500 0.000 0.000 As
0.250 0.125 0.375 Te
0.375 0.750 0.625 Te
0.125 0.875 0.750 Te
0.125 0.250 0.875 Te
0.625 0.375 0.750 Te
0.750 0.875 0.625 Te
0.875 0.750 0.125 Te
0.250 0.625 0.875 Te
0.375 0.625 0.250 Te
0.625 0.250 0.375 Te
0.875 0.125 0.250 Te
0.750 0.375 0.125 Te
```

Output
The total energy is -260.213 eV per cell. For the uncorrected formation energy, the calculation gives 0.0240 eV per atom.


(5)
Below is a relaxed structure of CaTe3I, with properties calculated at the PBE level.

The structure in POSCAR format:
```
CaTe3I
1.0
5.846 0.000 0.000
0.000 5.846 0.000
0.000 0.000 5.846
Te I Ca
3 1 1
direct
0.000 0.500 0.000 Te
0.500 0.000 0.000 Te
0.000 0.000 0.500 Te
0.000 0.000 0.000 I
0.500 0.500 0.500 Ca
```

Output
The total energy is -12.439 eV per cell. The value obtained for the polymorph energy (0 for the lowest one) is 0 meV/atom. For the uncorrected formation energy, the calculation gives 0.1075 eV per atom.


(6)
Below is a relaxed structure of Pm2Dy3Hg3, with properties calculated at the PBE level.

The structure in POSCAR format:
```
Pm2Dy3Hg3
1.0
-0.957 0.525 -3.604
1.505 -4.970 -1.124
-10.614 -1.410 4.580
Pm Hg Dy
2 3 3
direct
0.731 0.231 0.462 Pm
0.269 0.769 0.538 Pm
0.115 0.115 0.229 Hg
0.000 0.500 0.000 Hg
0.885 0.885 0.771 Hg
0.500 0.000 0.000 Dy
0.619 0.619 0.238 Dy
0.381 0.381 0.762 Dy
```

Output
As for the formation energy: -350 meV per atom. The total energy is -27.017 eV per cell.


(7)
Below is a relaxed structure of CrFe2P, with properties calculated at the PBE level.

The structure in POSCAR format:
```
CrFe2P
1.0
2.550 -0.002 0.000
-0.734 2.442 0.000
0.000 0.000 7.388
Cr Fe P
1 2 1
direct
0.500 0.500 0.750 Cr
0.000 0.000 0.015 Fe
0.000 0.000 0.485 Fe
0.500 0.500 0.250 P
```

Output
As for the formation energy: 133 meV per atom. The total energy is -31.428 eV per cell.


(8)
Below is a relaxed structure of SrLaSe2Br, with properties calculated at the PBE level.

The structure in POSCAR format:
```
SrLaSe2Br
1.0
-5.540 1.134 -1.153
0.086 -3.903 -4.250
-1.589 -4.030 3.668
Br La Se Sr
1 1 2 1
direct
0.000 0.000 0.500 Br
0.000 0.000 0.000 La
0.500 0.000 0.000 Se
0.000 0.500 0.000 Se
0.500 0.500 0.500 Sr
```

Output
The total energy is -23.177 eV per cell. The value obtained for the polymorph energy (0 for the lowest one) is 0 meV/atom. For the uncorrected formation energy, the calculation gives -1.5852 eV per atom.


(9)
Below is a relaxed structure of CdHg4Rh, with properties calculated at the PBE level.

The structure in POSCAR format:
```
CdHg4Rh
1.0
0.000 4.046 4.046
4.046 0.000 4.046
4.046 4.046 0.000
Hg Rh Cd
4 1 1
direct
0.376 0.376 0.376 Hg
0.873 0.376 0.376 Hg
0.376 0.873 0.376 Hg
0.376 0.376 0.873 Hg
0.750 0.750 0.750 Rh
0.000 0.000 0.000 Cd
```

Output
As for the formation energy: 454 meV per atom. The total energy is -6.752 eV per cell.


(10)
Below is a relaxed structure of NaScSeF2, with properties calculated at the PBE level.

The structure in POSCAR format:
```
NaScSeF2
1.0
-1.533 3.565 1.471
-3.443 -0.551 -2.251
-2.244 -2.647 4.080
Se Sc Na F
1 1 1 2
direct
0.000 0.000 0.500 Se
0.000 0.000 0.000 Sc
0.500 0.500 0.500 Na
0.500 0.000 0.000 F
0.000 0.500 0.000 F
```

Output
The total energy is -28.431 eV per cell. The value obtained for the polymorph energy (0 for the lowest one) is 0 meV/atom. For the uncorrected formation energy, the calculation gives -2.7107 eV per atom.


(11)
Below is a relaxed structure of Tb3Au, with properties calculated at the PBE level.

The structure in POSCAR format:
```
Tb3Au
1.0
-0.205 -4.900 3.808
7.920 -0.841 4.160
-4.370 2.280 7.854
Tb Au
12 4
direct
0.473 0.608 0.347 Tb
0.597 0.966 0.406 Tb
0.015 0.428 0.044 Tb
0.845 0.674 0.622 Tb
0.200 0.954 0.192 Tb
0.974 0.025 0.602 Tb
0.624 0.225 0.017 Tb
0.480 0.596 0.946 Tb
0.856 0.822 0.985 Tb
0.325 0.038 0.829 Tb
0.136 0.317 0.377 Tb
0.450 0.372 0.643 Tb
0.027 0.664 0.270 Au
0.738 0.242 0.304 Au
0.299 0.736 0.684 Au
0.961 0.333 0.731 Au
```

Output
As for the formation energy: -394 meV per atom. The total energy is -74.984 eV per cell.


(12)
Below is a relaxed structure of NbCI3, with properties calculated at the PBE level.

The structure in POSCAR format:
```
NbCI3
1.0
-1.417 0.510 -4.769
4.742 -0.596 -1.473
-0.718 -4.939 -0.314
Nb I C
1 3 1
direct
0.500 0.500 0.500 Nb
0.500 0.000 0.000 I
0.000 0.000 0.500 I
0.000 0.500 0.000 I
0.000 0.000 0.000 C
```

Output
The total energy is -16.273 eV per cell. The value obtained for the polymorph energy (0 for the lowest one) is 147 meV/atom. For the uncorrected formation energy, the calculation gives 1.5341 eV per atom.


(13)
Below is a relaxed structure of CaSiPd3, with properties calculated at the PBE level.

The structure in POSCAR format:
```
CaSiPd3
1.0
4.616 0.000 0.000
0.000 4.616 0.000
0.000 0.000 4.616
Ca Pd Si
1 3 1
direct
0.500 0.500 0.500 Ca
0.000 0.500 0.000 Pd
0.000 0.000 0.500 Pd
0.500 0.000 0.000 Pd
0.000 0.000 0.000 Si
```

Output
The total energy is -25.911 eV per cell. The value obtained for the polymorph energy (0 for the lowest one) is 132 meV/atom. For the uncorrected formation energy, the calculation gives -0.5815 eV per atom.


(14)
Below is a relaxed structure of PbI2BrO, with properties calculated at the PBE level.

The structure in POSCAR format:
```
PbI2BrO
1.0
-0.793 -4.662 -4.338
-1.623 -4.080 4.681
-4.025 1.095 -0.441
I Br Pb O
2 1 1 1
direct
0.000 0.500 0.000 I
0.500 0.000 0.000 I
0.500 0.500 0.500 Br
0.000 0.000 0.000 Pb
0.000 0.000 0.500 O
```

Output
The total energy is -13.292 eV per cell. The value obtained for the polymorph energy (0 for the lowest one) is 0 meV/atom. For the uncorrected formation energy, the calculation gives 0.0295 eV per atom.


(15)
Below is a relaxed structure of PrTm3Pu2Te6, with properties calculated at the PBE level.

The structure in POSCAR format:
```
PrTm3Pu2Te6
1.0
4.350 0.000 0.000
0.000 8.827 0.256
-2.175 -2.606 9.228
Pr Te Pu Tm
1 6 2 3
direct
0.500 0.000 0.000 Pr
0.998 0.262 0.997 Te
0.335 0.411 0.670 Te
0.328 0.920 0.657 Te
0.672 0.080 0.343 Te
0.665 0.589 0.330 Te
0.002 0.738 0.003 Te
0.166 0.333 0.332 Pu
0.834 0.667 0.668 Pu
0.165 0.834 0.329 Tm
0.835 0.166 0.671 Tm
0.500 0.500 0.000 Tm
```

Output
The total energy is -80.317 eV per cell. For the uncorrected formation energy, the calculation gives -1.2174 eV per atom.


(16)
Below is a relaxed structure of YNbTeN2, with properties calculated at the PBE level.

The structure in POSCAR format:
```
YNbTeN2
1.0
4.264 0.000 0.000
0.000 4.264 0.000
0.000 0.000 5.929
Te Nb Y N
1 1 1 2
direct
0.000 0.000 0.500 Te
0.500 0.500 0.500 Nb
0.000 0.000 0.000 Y
0.500 0.000 0.000 N
0.000 0.500 0.000 N
```

Output
The total energy is -30.718 eV per cell. The value obtained for the polymorph energy (0 for the lowest one) is 1333 meV/atom. For the uncorrected formation energy, the calculation gives 1.1217 eV per atom.


(17)
Below is a relaxed structure of Tb4MgCd3, with properties calculated at the PBE level.

The structure in POSCAR format:
```
Tb4MgCd3
1.0
-2.902 -0.798 1.781
-0.522 -4.136 -2.703
6.794 -6.258 8.263
Tb Cd Mg
4 3 1
direct
0.500 0.000 0.663 Tb
0.000 0.500 0.833 Tb
0.000 0.000 0.168 Tb
0.500 0.500 0.337 Tb
0.000 0.500 0.570 Cd
0.500 0.000 0.931 Cd
0.000 0.000 0.431 Cd
0.500 0.500 0.066 Mg
```

Output
As for the formation energy: -206 meV per atom. The total energy is -24.506 eV per cell. The value obtained for the polymorph energy (0 for the lowest one) is 58 meV/atom.


(18)
Below is a relaxed structure of BiNCl, with properties calculated at the PBE level.

The structure in POSCAR format:
```
BiNCl
1.0
3.634 0.632 0.622
1.159 3.502 0.622
1.290 1.112 16.697
Cl N Bi
2 2 2
direct
0.170 0.170 0.791 Cl
0.830 0.830 0.209 Cl
0.735 0.735 0.609 N
0.265 0.265 0.391 N
0.729 0.729 0.914 Bi
0.271 0.271 0.086 Bi
```

Output
The total energy is -19.115 eV per cell. For the uncorrected formation energy, the calculation gives 1.4984 eV per atom.


(19)
Below is a relaxed structure of PrTa2Os2, with properties calculated at the PBE level.

The structure in POSCAR format:
```
PrTa2Os2
1.0
-0.371 4.292 0.926
-1.468 -0.997 4.034
6.021 -1.609 -0.614
Ta Pr Os
2 1 2
direct
0.250 0.750 0.500 Ta
0.750 0.250 0.500 Ta
0.000 0.000 0.000 Pr
0.380 0.380 0.760 Os
0.620 0.620 0.240 Os
```

Output
As for the formation energy: -286 meV per atom. The total energy is -52.373 eV per cell.


(20)
Below is a relaxed structure of NaHgHO, with properties calculated at the PBE level.

The structure in POSCAR format:
```
NaHgHO
1.0
-0.220 -0.151 -3.867
-3.187 -0.533 2.145
-1.061 6.325 -0.187
O Hg Na H
1 1 1 1
direct
0.644 0.288 0.480 O
0.303 0.606 0.025 Hg
0.978 0.956 0.544 Na
0.642 0.284 0.328 H
```

Output
The total energy is -13.587 eV per cell.